Record 1
First-principles (GGA-PBE) data for an optimized crystal structure of Li2LaBeFe, as listed in Alexandria via LeMat-Bulk.

Summary:
As for the formation energy from the elements: 0.325 eV per atom. As for the size of the total moment: 0.190 μB/atom.

Unit cell a=4.3688 b=4.4968 c=4.3688 alpha=90.00 beta=90.00 gamma=90.00
Site moments in Bohr magnetons follow the coordinates.
Element x y z (fractional)
Be 0.0000 0.0000 0.0000  0.06
Li 0.0000 0.0000 0.5000  0.05
Li 0.5000 0.0000 0.0000  0.04
Fe 0.0000 0.5000 0.0000  -1.76
La 0.5000 0.5000 0.5000  0.24

Record 2
First-principles (GGA-PBE) data for an optimized crystal structure of LaBeFe2N, as listed in Alexandria via LeMat-Bulk.

Summary:
The value obtained for the uncorrected formation energy is 272.7 kJ/mol of atoms. As for the size of the total moment: 0.873 μB/atom.

Unit cell a=4.5591 b=4.9646 c=4.5591 alpha=90.00 beta=90.00 gamma=90.00
Site moments in Bohr magnetons follow the coordinates.
Element x y z (fractional)
Be 0.0000 0.5000 0.0000  -0.01
N 0.5000 0.5000 0.5000  0.90
Fe 0.0000 0.0000 0.5000  1.82
Fe 0.5000 0.0000 0.0000  1.84
La 0.0000 0.0000 0.0000  -0.35

Record 3
First-principles (GGA-PBE) data for an optimized crystal structure of LaBe2NbFe, as listed in Alexandria via LeMat-Bulk.

Summary:
As for the formation energy from the elements: 2.533 eV per atom. As for the size of the total moment: 0.086 μB/atom.

Unit cell a=4.6231 b=4.9485 c=4.6231 alpha=90.00 beta=90.00 gamma=90.00
Site moments in Bohr magnetons follow the coordinates.
Element x y z (fractional)
Be 0.0000 0.0000 0.5000  -0.01
Be 0.5000 0.0000 0.0000  -0.05
Nb 0.0000 0.5000 0.0000  0.51
Fe 0.5000 0.5000 0.5000  0.01
La 0.0000 0.0000 0.0000  0.03